(1)
# TlTc2Br | Alexandria via LeMat-Bulk | meta-GGA SCAN | PBEsol geometry
data_TlTc2Br
_chemical_formula_sum 'Tl1 Tc2 Br1'
_cell_length_a 2.989
_cell_length_b 3.048
_cell_length_c 8.919
_cell_angle_alpha 90.00
_cell_angle_beta 90.00
_cell_angle_gamma 119.36
_space_group_name_H-M_alt 'P 1'
_space_group_IT_number 1
_space_group_name_Hall 'P 1'
loop_
_atom_site_label
_atom_site_fract_x
_atom_site_fract_y
_atom_site_fract_z
_atom_site_occupancy
Br1 0.500 0.000 0.000 1
Tc1 0.000 0.000 0.763 1
Tc2 0.000 0.000 0.237 1
Tl1 0.500 0.000 0.500 1
# ΔE_f (raw) (eV per atom): 1.0356
# Magnetization (Bohr magnetons per cell): 2.92
# Offset from the most stable computed form (eV/atom): 0.780
# Volume (Å³ per atom): 17.704



(2)
# TlTc2Br | Alexandria via LeMat-Bulk | meta-GGA SCAN | PBEsol geometry
data_TlTc2Br
_chemical_formula_sum 'Tl1 Tc2 Br1'
_cell_length_a 3.293
_cell_length_b 4.728
_cell_length_c 6.219
_cell_angle_alpha 112.35
_cell_angle_beta 105.35
_cell_angle_gamma 90.00
_space_group_name_H-M_alt 'P 1'
_space_group_IT_number 1
_space_group_name_Hall 'P 1'
loop_
_atom_site_label
_atom_site_fract_x
_atom_site_fract_y
_atom_site_fract_z
_atom_site_occupancy
Tc1 0.023 0.023 0.045 1
Tc2 0.666 0.166 0.332 1
Br1 0.296 0.796 0.592 1
Tl1 0.515 0.515 0.031 1
# ΔE_f (raw) (eV per atom): 0.6694
# Magnetization (Bohr magnetons per cell): 0.44
# Offset from the most stable computed form (eV/atom): 0.414
# Volume (Å³ per atom): 21.454



(3)
# TlTcBr | Alexandria via LeMat-Bulk | meta-GGA SCAN | PBEsol geometry
data_TlTcBr
_chemical_formula_sum 'Tl1 Tc1 Br1'
_cell_length_a 3.228
_cell_length_b 4.598
_cell_length_c 4.598
_cell_angle_alpha 120.00
_cell_angle_beta 90.00
_cell_angle_gamma 90.00
_space_group_name_H-M_alt 'P 1'
_space_group_IT_number 1
_space_group_name_Hall 'P 1'
loop_
_atom_site_label
_atom_site_fract_x
_atom_site_fract_y
_atom_site_fract_z
_atom_site_occupancy
Tc1 0.000 0.333 0.667 1
Tl1 0.500 0.667 0.333 1
Br1 0.000 0.000 0.000 1
# ΔE_f (raw) (eV per atom): 0.7894
# Magnetization (Bohr magnetons per cell): 2.58
# Offset from the most stable computed form (eV/atom): 0.000
# Volume (Å³ per atom): 19.704



(4)
# TlTcBr | Alexandria via LeMat-Bulk | meta-GGA SCAN | PBEsol geometry
data_TlTcBr
_chemical_formula_sum 'Tl1 Tc1 Br1'
_cell_length_a 4.833
_cell_length_b 4.833
_cell_length_c 4.833
_cell_angle_alpha 60.00
_cell_angle_beta 60.00
_cell_angle_gamma 60.00
_space_group_name_H-M_alt 'P 1'
_space_group_IT_number 1
_space_group_name_Hall 'P 1'
loop_
_atom_site_label
_atom_site_fract_x
_atom_site_fract_y
_atom_site_fract_z
_atom_site_occupancy
Br1 0.000 0.000 0.000 1
Tl1 0.250 0.250 0.250 1
Tc1 0.500 0.500 0.500 1
# ΔE_f (raw) (eV per atom): 1.2752
# Magnetization (Bohr magnetons per cell): 3.67
# Offset from the most stable computed form (eV/atom): 0.486
# Volume (Å³ per atom): 26.616



(5)
# Tc2WBr | Alexandria via LeMat-Bulk | meta-GGA SCAN | PBEsol geometry
data_Tc2WBr
_chemical_formula_sum 'Tc2 W1 Br1'
_cell_length_a 3.002
_cell_length_b 4.491
_cell_length_c 4.491
_cell_angle_alpha 90.00
_cell_angle_beta 90.00
_cell_angle_gamma 90.00
_space_group_name_H-M_alt 'P 1'
_space_group_IT_number 1
_space_group_name_Hall 'P 1'
loop_
_atom_site_label
_atom_site_fract_x
_atom_site_fract_y
_atom_site_fract_z
_atom_site_occupancy
Tc1 0.000 0.000 0.500 1
Tc2 0.000 0.500 0.000 1
W1 0.500 0.500 0.500 1
Br1 0.500 0.000 0.000 1
# ΔE_f (raw) (eV per atom): 0.9455
# Magnetization (Bohr magnetons per cell): 0.00
# Offset from the most stable computed form (eV/atom): 0.318
# Volume (Å³ per atom): 15.134



(6)
# Tc2WBr | Alexandria via LeMat-Bulk | meta-GGA SCAN | PBEsol geometry
data_Tc2WBr
_chemical_formula_sum 'Tc2 W1 Br1'
_cell_length_a 2.966
_cell_length_b 4.353
_cell_length_c 5.111
_cell_angle_alpha 92.91
_cell_angle_beta 106.87
_cell_angle_gamma 90.00
_space_group_name_H-M_alt 'P 1'
_space_group_IT_number 1
_space_group_name_Hall 'P 1'
loop_
_atom_site_label
_atom_site_fract_x
_atom_site_fract_y
_atom_site_fract_z
_atom_site_occupancy
Br1 0.247 0.761 0.494 1
Tc1 0.030 0.033 0.060 1
Tc2 0.754 0.235 0.508 1
W1 0.469 0.471 0.938 1
# ΔE_f (raw) (eV per atom): 0.7929
# Magnetization (Bohr magnetons per cell): 0.00
# Offset from the most stable computed form (eV/atom): 0.166
# Volume (Å³ per atom): 15.766



(7)
# Tc2WBr | Alexandria via LeMat-Bulk | meta-GGA SCAN | PBEsol geometry
data_Tc2WBr
_chemical_formula_sum 'Tc2 W1 Br1'
_cell_length_a 2.932
_cell_length_b 4.447
_cell_length_c 4.613
_cell_angle_alpha 90.00
_cell_angle_beta 90.00
_cell_angle_gamma 90.00
_space_group_name_H-M_alt 'P 1'
_space_group_IT_number 1
_space_group_name_Hall 'P 1'
loop_
_atom_site_label
_atom_site_fract_x
_atom_site_fract_y
_atom_site_fract_z
_atom_site_occupancy
W1 0.500 0.500 0.000 1
Tc1 0.500 0.000 0.500 1
Tc2 0.000 0.000 0.000 1
Br1 0.000 0.500 0.500 1
# ΔE_f (raw) (eV per atom): 1.0056
# Magnetization (Bohr magnetons per cell): 0.00
# Offset from the most stable computed form (eV/atom): 0.378
# Volume (Å³ per atom): 15.035



(8)
# Tc2WBr | Alexandria via LeMat-Bulk | meta-GGA SCAN | PBEsol geometry
data_Tc2WBr
_chemical_formula_sum 'Tc2 W1 Br1'
_cell_length_a 2.877
_cell_length_b 2.877
_cell_length_c 8.759
_cell_angle_alpha 80.55
_cell_angle_beta 80.55
_cell_angle_gamma 60.00
_space_group_name_H-M_alt 'P 1'
_space_group_IT_number 1
_space_group_name_Hall 'P 1'
loop_
_atom_site_label
_atom_site_fract_x
_atom_site_fract_y
_atom_site_fract_z
_atom_site_occupancy
Tc1 0.004 0.004 0.989 1
Tc2 0.747 0.747 0.758 1
Br1 0.249 0.249 0.253 1
W1 0.500 0.500 0.499 1
# ΔE_f (raw) (eV per atom): 0.6272
# Magnetization (Bohr magnetons per cell): 0.00
# Offset from the most stable computed form (eV/atom): 0.000
# Volume (Å³ per atom): 15.414



(9)
# TcWBr | Alexandria via LeMat-Bulk | meta-GGA SCAN | PBEsol geometry
data_TcWBr
_chemical_formula_sum 'Tc1 W1 Br1'
_cell_length_a 3.297
_cell_length_b 3.297
_cell_length_c 6.023
_cell_angle_alpha 90.00
_cell_angle_beta 90.00
_cell_angle_gamma 120.00
_space_group_name_H-M_alt 'P 1'
_space_group_IT_number 1
_space_group_name_Hall 'P 1'
loop_
_atom_site_label
_atom_site_fract_x
_atom_site_fract_y
_atom_site_fract_z
_atom_site_occupancy
W1 0.667 0.333 0.377 1
Br1 0.000 0.000 0.004 1
Tc1 0.333 0.667 0.619 1
# ΔE_f (raw) (eV per atom): 0.3943
# Magnetization (Bohr magnetons per cell): 0.00
# Offset from the most stable computed form (eV/atom): 0.000
# Volume (Å³ per atom): 18.901



(10)
# TcWBr2 | Alexandria via LeMat-Bulk | meta-GGA SCAN | PBEsol geometry
data_TcWBr2
_chemical_formula_sum 'Tc1 W1 Br2'
_cell_length_a 2.887
_cell_length_b 3.084
_cell_length_c 8.925
_cell_angle_alpha 90.00
_cell_angle_beta 90.00
_cell_angle_gamma 117.91
_space_group_name_H-M_alt 'P 1'
_space_group_IT_number 1
_space_group_name_Hall 'P 1'
loop_
_atom_site_label
_atom_site_fract_x
_atom_site_fract_y
_atom_site_fract_z
_atom_site_occupancy
Br1 0.000 0.000 0.261 1
Br2 0.000 0.000 0.739 1
W1 0.500 0.000 0.000 1
Tc1 0.500 0.000 0.500 1
# ΔE_f (raw) (eV per atom): 1.4109
# Magnetization (Bohr magnetons per cell): 0.00
# Offset from the most stable computed form (eV/atom): 0.000
# Volume (Å³ per atom): 17.557



- The highest magnetization belongs to which entry?
  number 4